First-principles (PBE) data for a relaxed Ca2CuSb3Pt4 crystal, as listed in Alexandria via LeMat-Bulk.

a = 4.543 Å, b = 4.543 Å, c = 10.560 Å
α = 90.00°, β = 90.00°, γ = 90.00°
Atoms (fractional coordinates):
Ca: 0.000 0.500 0.244
Ca: 0.500 0.000 0.756
Cu: 0.500 0.500 0.000
Sb: 0.000 0.000 0.000
Sb: 0.000 0.500 0.634
Sb: 0.500 0.000 0.366
Pt: 0.000 0.000 0.500
Pt: 0.000 0.500 0.877
Pt: 0.500 0.000 0.123
Pt: 0.500 0.500 0.500

VASP energy: -5.139 eV per atom
symmetry: P-4m2
ΔE_f (raw): -653 kJ/mol of formula units



First-principles (PBE) data for a relaxed SrPrGaCuO5 crystal, as listed in Alexandria via LeMat-Bulk.

a = 9.166 Å, b = 9.166 Å, c = 5.350 Å
α = 106.56°, β = 106.56°, γ = 35.59°
Atoms (fractional coordinates):
Sr: 0.233 0.767 0.500
Sr: 0.767 0.233 0.000
Pr: 0.486 0.945 0.709
Pr: 0.945 0.486 0.209
Ga: 0.177 0.545 0.824
Ga: 0.545 0.177 0.324
Cu: 0.357 0.862 0.107
Cu: 0.862 0.357 0.607
O: 0.126 0.127 0.875
O: 0.127 0.126 0.375
O: 0.169 0.756 0.983
O: 0.222 0.483 0.459
O: 0.483 0.222 0.959
O: 0.591 0.939 0.315
O: 0.607 0.620 0.856
O: 0.620 0.607 0.356
O: 0.756 0.169 0.483
O: 0.939 0.591 0.815

VASP energy: -6.496 eV per atom
energy above the most stable polymorph in this dataset: 0 meV/atom
symmetry: Cc
ΔE_f (raw): -1938 kJ/mol of formula units